(1)
Entry from Alexandria via LeMat-Bulk: an optimized crystal structure of Ce2ErCr2C4 (PBE).

a b c (Å): 3.385 6.774 6.017
angles (deg): 108.17 90.00 104.47
Element x y z (fractional)
Ce  0.868  0.736  0.464
Ce  0.132  0.264  0.536
Er  0.000  0.000  0.000
Cr  0.318  0.636  0.999
Cr  0.682  0.364  0.001
C  0.781  0.562  0.808
C  0.219  0.438  0.192
C  0.450  0.900  0.238
C  0.550  0.100  0.762

Crystal system: monoclinic
Formation energy from the elements in meV per atom: -157

***

(2)
Entry from Alexandria via LeMat-Bulk: an optimized crystal structure of Sm6PbS8 (PBE).

a b c (Å): 8.006 8.006 8.006
angles (deg): 95.32 95.32 95.32
Last column: magnetic moment on the atom in μB.
Element x y z (fractional)
Sm  0.641  0.436  0.812  0.03
Sm  0.436  0.812  0.641  0.03
Sm  0.812  0.641  0.436  0.03
Sm  0.359  0.564  0.188  0.03
Sm  0.564  0.188  0.359  0.03
Sm  0.188  0.359  0.564  0.03
Pb  0.000  0.000  0.000  0.47
S  0.758  0.758  0.758  0.00
S  0.242  0.242  0.242  0.00
S  0.570  0.846  0.331  0.01
S  0.846  0.331  0.570  0.01
S  0.331  0.570  0.846  0.01
S  0.430  0.154  0.669  0.01
S  0.154  0.669  0.430  0.01
S  0.669  0.430  0.154  0.01

Crystal system: trigonal
Energy relative to the elements, uncorrected in eV per atom: -1.65

***

Number 1: final energy -74.0 eV per cell. Number 2: final energy -89.8 eV per cell.